No. 1
Material: Sr3OsPd
Method: DFT, PBE
State: optimized geometry

- energy of formation from the pure elements (eV per atom) = 0.505

a = 5.662 Å, b = 5.662 Å, c = 5.662 Å
α = 90.00°, β = 90.00°, γ = 90.00°
Fractional coordinates of all 5 atoms:
Sr1 0.500 0.000 0.000
Sr2 0.000 0.500 0.000
Sr3 0.000 0.000 0.500
Pd1 0.500 0.500 0.500
Os1 0.000 0.000 0.000

No. 2
Material: Sr2OsPdW
Method: DFT, PBE
State: optimized geometry

- energy of formation from the pure elements (eV per atom) = 1.624

a = 5.570 Å, b = 4.863 Å, c = 5.570 Å
α = 90.00°, β = 90.00°, γ = 90.00°
Each line ends with the local moment (μB).
Fractional coordinates of all 5 atoms:
Sr1 0.500 0.000 0.000  -0.01
Sr2 0.000 0.000 0.500  -0.01
Pd1 0.000 0.000 0.000  0.04
W1 0.000 0.500 0.000  1.53
Os1 0.500 0.500 0.500  1.59

No. 3
Material: Ta2OsPd2
Method: DFT, PBE
State: optimized geometry

- energy of formation from the pure elements (eV per atom) = 0.045

a = 7.172 Å, b = 7.172 Å, c = 3.207 Å
α = 90.00°, β = 90.00°, γ = 90.00°
Fractional coordinates of all 10 atoms:
Pd1 0.126 0.374 0.000
Pd2 0.626 0.126 0.000
Pd3 0.374 0.874 0.000
Pd4 0.874 0.626 0.000
Os1 0.500 0.500 0.000
Os2 0.000 0.000 0.000
Ta1 0.820 0.320 0.500
Ta2 0.320 0.180 0.500
Ta3 0.680 0.820 0.500
Ta4 0.180 0.680 0.500

No. 4
Material: Ta2OsPd
Method: DFT, PBE
State: optimized geometry

- energy of formation from the pure elements (eV per atom) = -0.242

a = 3.846 Å, b = 4.113 Å, c = 4.113 Å
α = 90.00°, β = 90.00°, γ = 90.00°
Fractional coordinates of all 4 atoms:
Ta1 0.000 0.500 0.000
Ta2 0.000 0.000 0.500
Os1 0.500 0.500 0.500
Pd1 0.500 0.000 0.000

No. 5
Material: TaOs3Pd
Method: DFT, PBE
State: optimized geometry

- energy of formation from the pure elements (eV per atom) = 2.524

a = 4.616 Å, b = 4.616 Å, c = 4.616 Å
α = 90.00°, β = 90.00°, γ = 90.00°
Fractional coordinates of all 5 atoms:
Ta1 0.500 0.500 0.500
Os1 0.000 0.500 0.000
Os2 0.000 0.000 0.500
Os3 0.500 0.000 0.000
Pd1 0.000 0.000 0.000

No. 6
Material: Ta2OsPd
Method: DFT, PBE
State: optimized geometry

- energy of formation from the pure elements (eV per atom) = 0.644

a = 5.832 Å, b = 5.832 Å, c = 5.832 Å
α = 58.54°, β = 152.12°, γ = 129.65°
Fractional coordinates of all 4 atoms:
Pd1 0.000 0.000 0.000
Ta1 0.000 0.745 0.745
Ta2 0.000 0.255 0.255
Os1 0.000 0.500 0.500

No. 7
Material: TaOs3Pd
Method: DFT, PBE
State: optimized geometry

- energy of formation from the pure elements (eV per atom) = 2.276

a = 4.727 Å, b = 4.727 Å, c = 4.727 Å
α = 90.00°, β = 90.00°, γ = 90.00°
Each line ends with the local moment (μB).
Fractional coordinates of all 5 atoms:
Os1 0.000 0.500 0.000  0.74
Os2 0.000 0.000 0.500  0.64
Os3 0.500 0.000 0.000  0.77
Pd1 0.500 0.500 0.500  0.30
Ta1 0.000 0.000 0.000  -0.10

No. 8
Material: Ta3OsPd
Method: DFT, PBE
State: optimized geometry

- energy of formation from the pure elements (eV per atom) = 1.748

a = 4.726 Å, b = 4.726 Å, c = 4.726 Å
α = 90.00°, β = 90.00°, γ = 90.00°
Fractional coordinates of all 5 atoms:
Ta1 0.000 0.000 0.500
Ta2 0.000 0.500 0.000
Ta3 0.500 0.000 0.000
Os1 0.500 0.500 0.500
Pd1 0.000 0.000 0.000